# 1
First-principles (PBE-GGA) data for a relaxed structure of Tl2Pt, as listed in Alexandria.

a = 5.363 Å, b = 5.363 Å, c = 8.590 Å
α = 96.43°, β = 96.43°, γ = 37.36°
Positions (direct):
Tl 0.000 0.000 0.000
Tl 0.050 0.050 0.482
Tl 0.341 0.341 0.682
Tl 0.766 0.766 0.268
Pt 0.274 0.274 0.999
Pt 0.627 0.627 0.768

# 2
First-principles (PBE-GGA) data for a relaxed structure of TlPt4, as listed in Alexandria.

a = 7.890 Å, b = 7.890 Å, c = 7.890 Å
α = 148.49°, β = 137.67°, γ = 53.72°
Positions (direct):
Tl 0.355 0.105 0.250
Tl 0.645 0.895 0.750
Pt 0.000 0.500 0.500
Pt 0.146 0.896 0.250
Pt 0.182 0.694 0.488
Pt 0.295 0.306 0.988
Pt 0.500 0.500 0.000
Pt 0.705 0.694 0.012
Pt 0.818 0.306 0.512
Pt 0.854 0.104 0.750

Energy above the most stable polymorph in this dataset   0.0 meV per atom

# 3
First-principles (PBE-GGA) data for a relaxed structure of Tl3Pt, as listed in Alexandria.

a = 8.297 Å, b = 8.297 Å, c = 8.297 Å
α = 28.39°, β = 28.39°, γ = 28.39°
Positions (direct):
Tl 0.000 0.000 0.000
Tl 0.231 0.231 0.231
Tl 0.769 0.769 0.769
Pt 0.500 0.500 0.500

Energy above the most stable polymorph in this dataset   32.8 meV per atom

# 4
First-principles (PBE-GGA) data for a relaxed structure of TlPt, as listed in Alexandria.

a = 4.856 Å, b = 4.856 Å, c = 4.856 Å
α = 60.00°, β = 60.00°, γ = 60.00°
Positions (direct):
Tl 0.125 0.125 0.125
Tl 0.875 0.875 0.875
Pt 0.375 0.375 0.375
Pt 0.625 0.625 0.625

# 5
First-principles (PBE-GGA) data for a relaxed structure of Tl2Pt, as listed in Alexandria.

a = 20.037 Å, b = 20.037 Å, c = 20.037 Å
α = 168.69°, β = 168.69°, γ = 16.02°
Positions (direct):
Tl 0.100 0.350 0.750
Tl 0.287 0.537 0.750
Tl 0.350 0.100 0.250
Tl 0.463 0.713 0.750
Tl 0.537 0.287 0.250
Tl 0.650 0.900 0.750
Tl 0.713 0.463 0.250
Tl 0.900 0.650 0.250
Pt 0.025 0.775 0.250
Pt 0.225 0.975 0.250
Pt 0.775 0.025 0.750
Pt 0.975 0.225 0.750

# 6
First-principles (PBE-GGA) data for a relaxed structure of TlPt, as listed in Alexandria.

a = 10.642 Å, b = 10.642 Å, c = 10.642 Å
α = 16.72°, β = 16.72°, γ = 16.72°
Positions (direct):
Tl 0.110 0.110 0.110
Tl 0.890 0.890 0.890
Pt 0.368 0.368 0.368
Pt 0.632 0.632 0.632

no.,calculated formation energy (eV/f.u.),raw total energy (eV for the cell shown)
1,0.05,-21.44
2,0.12,-52.82
3,0.04,-13.10
4,0.47,-15.88
5,0.24,-42.13
6,0.46,-15.89